1.
VASP calculation (PBE) on TiRe after structural relaxation.

Results
ΔE_f	-0.013	eV/atom

POSCAR file:
```
TiRe
1.0
7.7415 0.0000 0.0000
0.0000 7.7415 0.0000
0.0000 0.0000 4.4852
Ti Re
8 8
Cartesian
0.0000 2.3615 0.0000
0.0000 5.3800 0.0000
1.5092 3.8707 2.2426
2.3615 0.0000 0.0000
3.8707 1.5092 2.2426
3.8707 6.2322 2.2426
5.3800 0.0000 0.0000
6.2322 3.8707 2.2426
1.2564 1.2564 2.2426
1.2564 6.4850 2.2426
2.6143 2.6143 0.0000
2.6143 5.1272 0.0000
5.1272 2.6143 0.0000
5.1272 5.1272 0.0000
6.4850 1.2564 2.2426
6.4850 6.4850 2.2426
```

2.
VASP calculation (PBE) on TiRe2 after structural relaxation.

Results
ΔE_f	-0.153	eV/atom

POSCAR file:
```
TiRe2
1.0
0.0000 3.6630 3.6630
3.6630 0.0000 3.6630
3.6630 3.6630 0.0000
Ti Re
2 4
Cartesian
0.9157 0.9157 0.9157
6.4102 6.4102 6.4102
3.6630 1.8315 1.8315
1.8315 3.6630 1.8315
1.8315 1.8315 3.6630
3.6630 3.6630 3.6630
```

3.
VASP calculation (PBE) on Ti5Re3 after structural relaxation.

Results
ΔE_f	0.002	eV/atom

POSCAR file:
```
Ti5Re3
1.0
7.2350 0.0000 0.0000
-3.6175 6.2657 0.0000
0.0000 0.0000 2.8865
Ti Re
5 3
Cartesian
-0.8491 1.4707 0.0000
1.6982 0.0000 0.0000
0.0000 4.1771 0.0000
3.6175 2.0886 0.0000
2.7684 4.7949 0.0000
-2.3072 3.9962 1.4432
1.3103 2.2695 1.4432
4.6144 0.0000 1.4432
```

4.
VASP calculation (PBE) on Ti5Re after structural relaxation.

Results
ΔE_f	-0.090	eV/atom

POSCAR file:
```
Ti5Re
1.0
3.1606 0.0000 0.0000
0.0000 13.6946 0.0000
0.0000 0.0000 4.5641
Ti Re
10 2
Cartesian
0.0000 0.0000 0.0000
0.0000 2.1156 2.2821
0.0000 4.5450 0.0000
0.0000 9.1495 0.0000
0.0000 11.5789 2.2821
1.5803 2.3022 0.0000
1.5803 4.7316 2.2821
1.5803 6.8473 0.0000
1.5803 8.9629 2.2821
1.5803 11.3923 0.0000
0.0000 6.8473 2.2821
1.5803 0.0000 2.2821
```

5.
VASP calculation (PBE) on TiRe after structural relaxation.

Results
ΔE_f	0.403	eV/atom

POSCAR file:
```
TiRe
1.0
0.0000 3.7820 4.8648
3.6157 0.0000 4.8648
3.6157 3.7820 0.0000
Ti Re
4 4
Cartesian
2.7118 0.4761 3.6486
4.5196 2.3672 6.0810
2.7118 5.1969 3.6486
4.5196 7.0879 6.0810
4.0166 2.8365 3.6486
5.8245 4.7275 6.0810
1.4069 2.8365 3.6486
3.2147 4.7275 6.0810
```

6.
VASP calculation (PBE) on TiRe after structural relaxation.

Results
ΔE_f	-0.317	eV/atom

POSCAR file:
```
TiRe
1.0
3.0955 0.0000 0.0000
0.0000 4.5629 0.0000
0.0000 0.0000 4.3169
Ti Re
2 2
Cartesian
0.0000 0.0000 0.0000
1.5478 2.2814 0.0000
0.0000 2.2814 2.1585
1.5478 0.0000 2.1585
```

7.
VASP calculation (PBE) on TiRe after structural relaxation.

Results
ΔE_f	-0.387	eV/atom

POSCAR file:
```
TiRe
1.0
3.1164 0.0000 0.0000
0.0000 3.1164 0.0000
0.0000 0.0000 3.1164
Ti Re
1 1
Cartesian
0.0000 0.0000 0.0000
1.5582 1.5582 1.5582
```

8.
VASP calculation (PBE) on TiRe after structural relaxation.

Results
ΔE_f	0.240	eV/atom

POSCAR file:
```
TiRe
1.0
7.5475 0.0000 0.0000
0.0000 7.5475 0.0000
0.0000 0.0000 4.7864
Ti Re
8 8
Cartesian
0.5151 2.1990 0.0000
0.5151 5.3485 2.3932
2.1990 0.5151 2.3932
2.1990 7.0324 0.0000
5.3485 0.5151 0.0000
5.3485 7.0324 2.3932
7.0324 2.1990 2.3932
7.0324 5.3485 0.0000
1.9932 3.1835 2.3932
1.9932 4.3640 0.0000
3.1835 1.9932 0.0000
3.1835 5.5543 2.3932
4.3640 1.9932 2.3932
4.3640 5.5543 0.0000
5.5543 3.1835 0.0000
5.5543 4.3640 2.3932
```

9.
VASP calculation (PBE) on TiRe after structural relaxation.

Results
ΔE_f	2.208	eV/atom

POSCAR file:
```
TiRe
1.0
7.0112 0.0000 0.0000
0.0000 7.0112 0.0000
0.0000 0.0000 7.0112
Ti Re
6 6
Cartesian
0.0000 1.7528 3.5056
0.0000 5.2584 3.5056
1.7528 3.5056 0.0000
3.5056 0.0000 1.7528
3.5056 0.0000 5.2584
5.2584 3.5056 0.0000
0.0000 3.5056 1.7528
0.0000 3.5056 5.2584
1.7528 0.0000 3.5056
3.5056 1.7528 0.0000
3.5056 5.2584 0.0000
5.2584 0.0000 3.5056
```

10.
VASP calculation (PBE) on TiRe4 after structural relaxation.

Results
ΔE_f	2.022	eV/atom

POSCAR file:
```
TiRe4
1.0
4.4458 0.0000 0.0000
0.0000 4.4458 0.0000
0.0000 0.0000 4.4458
Ti Re
1 4
Cartesian
0.0000 0.0000 0.0000
0.0000 0.0000 2.2229
0.0000 2.2229 0.0000
2.2229 0.0000 0.0000
2.2229 2.2229 2.2229
```

11.
VASP calculation (PBE) on Ti3TlRe after structural relaxation.

Results
ΔE_f	0.551	eV/atom

POSCAR file:
```
Ti3TlRe
1.0
4.7946 0.0000 0.0000
0.0000 4.7946 0.0000
0.0000 0.0000 4.7946
Ti Tl Re
3 1 1
Cartesian
0.0000 0.0000 2.3973
0.0000 2.3973 0.0000
2.3973 0.0000 0.0000
2.3973 2.3973 2.3973
0.0000 0.0000 0.0000
```

12.
VASP calculation (PBE) on Ti3TlRe2 after structural relaxation.

Results
ΔE_f	-0.272	eV/atom

POSCAR file:
```
Ti3TlRe2
1.0
3.2072 0.0000 0.0000
0.0000 3.2072 0.0000
0.0000 0.0000 9.7542
Ti Tl Re
3 1 2
Cartesian
0.0000 0.0000 0.0000
0.0000 0.0000 2.9373
0.0000 0.0000 6.8169
1.6036 1.6036 4.8771
1.6036 1.6036 1.5651
1.6036 1.6036 8.1891
```

13.
VASP calculation (PBE) on TiTl2Re after structural relaxation.

Results
ΔE_f	0.699	eV/atom

POSCAR file:
```
TiTl2Re
1.0
6.7055 0.0000 0.0000
0.0000 6.7055 0.0000
0.0000 0.0000 6.7055
Ti Tl Re
4 8 4
Cartesian
0.0000 0.0000 0.0000
0.0000 3.3528 3.3528
3.3528 0.0000 3.3528
3.3528 3.3528 0.0000
1.6764 1.6764 1.6764
1.6764 1.6764 5.0292
1.6764 5.0292 1.6764
1.6764 5.0292 5.0292
5.0292 1.6764 1.6764
5.0292 1.6764 5.0292
5.0292 5.0292 1.6764
5.0292 5.0292 5.0292
0.0000 0.0000 3.3528
0.0000 3.3528 0.0000
3.3528 0.0000 0.0000
3.3528 3.3528 3.3528
```

14.
VASP calculation (PBE) on Ti4TlRe after structural relaxation.

Results
ΔE_f	0.291	eV/atom

POSCAR file:
```
Ti4TlRe
1.0
7.7746 0.0000 0.0000
0.0000 4.4779 0.0000
-2.5834 0.0000 7.1344
Ti Tl Re
8 2 2
Cartesian
0.0075 0.0000 2.3991
-1.2894 2.2389 6.4596
2.5934 0.0000 0.6749
1.2965 2.2389 4.7353
3.8948 2.2389 2.3991
2.5979 0.0000 6.4596
6.4807 2.2389 0.6749
5.1838 0.0000 4.7353
-1.2917 2.2389 3.5672
2.5956 0.0000 3.5672
0.0000 0.0000 0.0000
3.8873 2.2389 0.0000
```

15.
VASP calculation (PBE) on TiTl2Re after structural relaxation.

Results
ΔE_f	1.008	eV/atom

POSCAR file:
```
TiTl2Re
1.0
7.6940 0.0000 0.0000
0.0000 7.6940 0.0000
0.0000 0.0000 5.7799
Ti Tl Re
4 8 4
Cartesian
0.0000 0.0000 0.0000
0.0000 3.8470 1.4450
3.8470 0.0000 4.3349
3.8470 3.8470 2.8899
1.8766 1.9235 3.6124
1.9235 5.7236 5.0574
1.9235 5.8174 2.1674
1.9704 1.9235 0.7225
5.7236 5.7705 0.7225
5.7705 1.8766 2.1674
5.7705 1.9704 5.0574
5.8174 5.7705 3.6124
0.0000 0.0000 2.8899
0.0000 3.8470 4.3349
3.8470 0.0000 1.4450
3.8470 3.8470 0.0000
```

16.
VASP calculation (PBE) on Ti5TlRe4 after structural relaxation.

Results
ΔE_f	-0.318	eV/atom

POSCAR file:
```
Ti5TlRe4
1.0
3.1684 0.0000 0.0000
0.0000 3.1684 0.0000
0.0000 0.0000 16.0796
Ti Tl Re
5 1 4
Cartesian
0.0000 0.0000 0.0000
0.0000 0.0000 3.0586
0.0000 0.0000 6.0276
0.0000 0.0000 10.0520
0.0000 0.0000 13.0211
1.5842 1.5842 8.0398
1.5842 1.5842 1.5442
1.5842 1.5842 4.6593
1.5842 1.5842 11.4203
1.5842 1.5842 14.5354
```

17.
VASP calculation (PBE) on TiTlV2Re after structural relaxation.

Results
ΔE_f	1.719	eV/atom

POSCAR file:
```
TiTlV2Re
1.0
4.2516 0.0000 0.0000
0.0000 4.2516 0.0000
0.0000 0.0000 5.0537
Ti Tl V Re
1 1 2 1
Cartesian
0.0000 0.0000 0.0000
0.0000 0.0000 2.5268
0.0000 2.1258 0.0000
2.1258 0.0000 0.0000
2.1258 2.1258 2.5268
```

18.
VASP calculation (PBE) on Ti2TlVRe after structural relaxation.

Results
ΔE_f	2.267	eV/atom

POSCAR file:
```
Ti2TlVRe
1.0
4.8856 0.0000 0.0000
0.0000 4.8856 0.0000
0.0000 0.0000 4.9638
Ti Tl V Re
2 1 1 1
Cartesian
0.0000 2.4428 0.0000
2.4428 0.0000 0.0000
0.0000 0.0000 0.0000
2.4428 2.4428 2.4819
0.0000 0.0000 2.4819
```

19.
VASP calculation (PBE) on YTiTl2Re after structural relaxation.

Results
ΔE_f	2.054	eV/atom

POSCAR file:
```
YTiTl2Re
1.0
5.6676 0.0000 0.0000
0.0000 5.6676 0.0000
0.0000 0.0000 4.8964
Y Ti Tl Re
1 1 2 1
Cartesian
0.0000 0.0000 0.0000
0.0000 0.0000 2.4482
0.0000 2.8338 0.0000
2.8338 0.0000 0.0000
2.8338 2.8338 2.4482
```

20.
VASP calculation (PBE) on TmTiRe4 after structural relaxation.

Results
ΔE_f	-0.170	eV/atom

POSCAR file:
```
TmTiRe4
1.0
0.0000 3.7376 3.7376
3.7376 0.0000 3.7376
3.7376 3.7376 0.0000
Tm Ti Re
1 1 4
Cartesian
0.0000 0.0000 0.0000
5.6064 5.6064 5.6064
2.8061 2.8061 2.8061
4.6692 4.6692 2.8061
4.6692 2.8061 4.6692
2.8061 4.6692 4.6692
```

21.
VASP calculation (PBE) on UTiRe2 after structural relaxation.

Results
ΔE_f	-0.012	eV/atom

POSCAR file:
```
UTiRe2
1.0
6.5186 0.0000 0.0000
0.0000 6.5186 0.0000
0.0000 0.0000 6.5186
U Ti Re
4 4 8
Cartesian
0.0000 0.0000 0.0000
0.0000 3.2593 3.2593
3.2593 0.0000 3.2593
3.2593 3.2593 0.0000
0.0000 0.0000 3.2593
0.0000 3.2593 0.0000
3.2593 0.0000 0.0000
3.2593 3.2593 3.2593
1.6296 1.6296 1.6296
1.6296 1.6296 4.8889
1.6296 4.8889 1.6296
1.6296 4.8889 4.8889
4.8889 1.6296 1.6296
4.8889 1.6296 4.8889
4.8889 4.8889 1.6296
4.8889 4.8889 4.8889
```

22.
VASP calculation (PBE) on UTiRe2 after structural relaxation.

Results
ΔE_f	-0.111	eV/atom

POSCAR file:
```
UTiRe2
1.0
4.6358 0.0000 0.0000
0.0000 4.6358 0.0000
0.0000 0.0000 3.2053
U Ti Re
1 1 2
Cartesian
0.0000 0.0000 0.0000
2.3179 2.3179 0.0000
0.0000 2.3179 1.6027
2.3179 0.0000 1.6027
```

23.
VASP calculation (PBE) on TiV3Re after structural relaxation.

Results
ΔE_f	0.215	eV/atom

POSCAR file:
```
TiV3Re
1.0
5.1649 0.0000 0.0000
-2.5824 4.4729 0.0000
0.0000 0.0000 9.9238
Ti V Re
3 9 3
Cartesian
0.0000 0.0000 0.0000
0.0000 2.9819 6.6159
2.5824 1.4910 3.3079
-1.2814 2.2421 1.2296
0.0000 1.4797 4.5376
-1.3010 3.7331 4.5376
1.3010 0.7511 7.8455
1.2814 2.2421 1.2296
0.0000 4.4616 1.2296
1.3010 3.7331 4.5376
3.8639 0.7511 7.8455
2.5824 2.9706 7.8455
0.0000 0.0000 2.4895
0.0000 2.9819 9.1054
2.5824 1.4910 5.7974
```

24.
VASP calculation (PBE) on TiVRe2 after structural relaxation.

Results
ΔE_f	-0.392	eV/atom

POSCAR file:
```
TiVRe2
1.0
6.1493 0.0000 0.0000
0.0000 6.1493 0.0000
0.0000 0.0000 6.1493
Ti V Re
4 4 8
Cartesian
0.0000 0.0000 0.0000
0.0000 3.0747 3.0747
3.0747 0.0000 3.0747
3.0747 3.0747 0.0000
0.0000 0.0000 3.0747
0.0000 3.0747 0.0000
3.0747 0.0000 0.0000
3.0747 3.0747 3.0747
1.5373 1.5373 1.5373
1.5373 1.5373 4.6120
1.5373 4.6120 1.5373
1.5373 4.6120 4.6120
4.6120 1.5373 1.5373
4.6120 1.5373 4.6120
4.6120 4.6120 1.5373
4.6120 4.6120 4.6120
```

25.
VASP calculation (PBE) on TiV4Re2 after structural relaxation.

Results
ΔE_f	0.237	eV/atom

POSCAR file:
```
TiV4Re2
1.0
0.0000 4.2358 4.2696
2.9647 0.0000 4.2696
2.9647 4.2358 0.0000
Ti V Re
1 4 2
Cartesian
0.0000 0.0000 0.0000
1.4823 2.1179 0.0000
2.9647 2.1179 2.1348
0.0000 2.1179 2.1348
1.4823 2.1179 4.2696
1.4823 0.0000 2.1348
1.4823 4.2358 2.1348
```